No. 1
The following is a PBE calculation of Mg6InAg6 after structural relaxation, from Alexandria via LeMat-Bulk.

Lattice parameters (Å, degrees): 5.6383 5.6383 9.6283 90.00 90.00 120.00
With the nearest neighbours (Å) after each atom.
Fractional positions:
Mg (0.0000, 0.0000, 0.1625)  6 Ag 2.94, 1 Mg 3.13, 1 In 3.25
Mg (0.0000, 0.0000, 0.8375)  6 Ag 2.94, 1 Mg 3.13, 1 In 3.25
Mg (0.3333, 0.6667, 0.0000)  6 Ag 2.90
Mg (0.3333, 0.6667, 0.5000)  6 Ag 2.92, 3 In 3.26, 3 Mg 3.26
Mg (0.6667, 0.3333, 0.0000)  6 Ag 2.90
Mg (0.6667, 0.3333, 0.5000)  6 Ag 2.92, 3 In 3.26, 3 Mg 3.26
In (0.0000, 0.0000, 0.5000)  8 Mg 3.25-3.26
Ag (0.0000, 0.5000, 0.2488)  4 Ag 2.82, 6 Mg 2.90-2.94
Ag (0.0000, 0.5000, 0.7512)  4 Ag 2.82, 6 Mg 2.90-2.94
Ag (0.5000, 0.0000, 0.2488)  4 Ag 2.82, 6 Mg 2.90-2.94
Ag (0.5000, 0.0000, 0.7512)  4 Ag 2.82, 6 Mg 2.90-2.94
Ag (0.5000, 0.5000, 0.2488)  4 Ag 2.82, 6 Mg 2.90-2.94
Ag (0.5000, 0.5000, 0.7512)  4 Ag 2.82, 6 Mg 2.90-2.94

Results
The calculation puts the volume at 265 Å³/cell. The formation energy is -0.14 eV per atom. The calculation puts the density of states at the Fermi level at 4.344 states/eV/f.u. As for the crystal system: hexagonal. Its space group is No. 191. The total moment comes out at 0.00 μB/cell.


No. 2
The following is a PBE calculation of MnCrCu2 after structural relaxation, from Alexandria via LeMat-Bulk.

Lattice parameters (Å, degrees): 4.2195 4.2195 4.2195 60.00 60.00 60.00
With the nearest neighbours (Å) after each atom.
Fractional positions:
Mn (0.0000, 0.0000, 0.0000)  8 Cu 2.58
Cr (0.5000, 0.5000, 0.5000)  8 Cu 2.58
Cu (0.2500, 0.2500, 0.2500)  4 Cr 2.58, 4 Mn 2.58
Cu (0.7500, 0.7500, 0.7500)  4 Cr 2.58, 4 Mn 2.58

Results
The calculation puts the volume at 53 Å³/cell. The formation energy is 0.26 eV per atom. The calculation puts the density of states at the Fermi level at 4.500 states/eV/f.u. As for the crystal system: cubic. Its space group is No. 225. The total moment comes out at 0.17 μB/cell.


No. 3
The following is a PBE calculation of AcGa12Ir4 after structural relaxation, from Alexandria via LeMat-Bulk.

Lattice parameters (Å, degrees): 8.3451 8.3451 8.3451 109.47 109.47 109.47
With the nearest neighbours (Å) after each atom.
Fractional positions:
Ac (0.0000, 0.0000, 0.0000)  12 Ga 3.48
Ga (0.0016, 0.2563, 0.7454)  2 Ir 2.41
Ga (0.2546, 0.5109, 0.2563)  2 Ir 2.41
Ga (0.2546, 0.9984, 0.7437)  2 Ir 2.41
Ga (0.2563, 0.2546, 0.5109)  2 Ir 2.41
Ga (0.2563, 0.7454, 0.0016)  2 Ir 2.41
Ga (0.4891, 0.7437, 0.7454)  2 Ir 2.41
Ga (0.5109, 0.2563, 0.2546)  2 Ir 2.41
Ga (0.7437, 0.2546, 0.9984)  2 Ir 2.41
Ga (0.7437, 0.7454, 0.4891)  2 Ir 2.41
Ga (0.7454, 0.0016, 0.2563)  2 Ir 2.41
Ga (0.7454, 0.4891, 0.7437)  2 Ir 2.41
Ga (0.9984, 0.7437, 0.2546)  2 Ir 2.41
Ir (0.0000, 0.0000, 0.5000)  6 Ga 2.41
Ir (0.0000, 0.5000, 0.0000)  6 Ga 2.41
Ir (0.5000, 0.0000, 0.0000)  6 Ga 2.41
Ir (0.5000, 0.5000, 0.5000)  6 Ga 2.41

Results
The calculation puts the volume at 447 Å³/cell. The formation energy is -0.28 eV per atom. The calculation puts the density of states at the Fermi level at 7.661 states/eV/f.u. As for the crystal system: cubic. Its space group is No. 204. The total moment comes out at 1.61 μB/cell.


No. 4
The following is a PBE calculation of ZrCd5Hg4 after structural relaxation, from Alexandria via LeMat-Bulk.

Lattice parameters (Å, degrees): 8.8588 8.8588 6.2715 110.27 110.27 29.76
With the nearest neighbours (Å) after each atom.
Fractional positions:
Zr (0.0000, 0.0000, 0.0000)  6 Hg 3.03-3.13, 6 Cd 3.14-3.34
Cd (0.0000, 0.0000, 0.5000)  6 Cd 3.07-3.24, 4 Hg 3.13, 2 Zr 3.14
Cd (0.1903, 0.1903, 0.7473)  6 Hg 2.98-3.23, 3 Cd 3.07-3.19
Cd (0.3888, 0.3888, 0.6243)  6 Hg 2.98-3.34, 4 Cd 3.19-3.24, 2 Zr 3.34
Cd (0.6112, 0.6112, 0.3757)  6 Hg 2.98-3.34, 4 Cd 3.19-3.24, 2 Zr 3.34
Cd (0.8097, 0.8097, 0.2527)  6 Hg 2.98-3.23, 3 Cd 3.07-3.19
Hg (0.1950, 0.1950, 0.2371)  7 Cd 2.98-3.34, 1 Zr 3.13
Hg (0.4151, 0.4151, 0.1522)  2 Zr 3.03, 7 Cd 3.11-3.18, 2 Hg 3.38
Hg (0.5849, 0.5849, 0.8478)  2 Zr 3.03, 7 Cd 3.11-3.18, 2 Hg 3.38
Hg (0.8050, 0.8050, 0.7629)  7 Cd 2.98-3.34, 1 Zr 3.13

Results
The calculation puts the volume at 228 Å³/cell. The formation energy is 0.00 eV per atom. The calculation puts the density of states at the Fermi level at 4.709 states/eV/f.u. As for the crystal system: monoclinic. Its space group is No. 12. The total moment comes out at 0.00 μB/cell.


No. 5
The following is a PBE calculation of Er2PaC2 after structural relaxation, from Alexandria via LeMat-Bulk.

Lattice parameters (Å, degrees): 9.3052 9.3052 9.3052 22.14 22.14 22.14
With the nearest neighbours (Å) after each atom.
Fractional positions:
Er (0.2302, 0.2302, 0.2302)  3 C 2.46
Er (0.7698, 0.7698, 0.7698)  3 C 2.46
Pa (0.0000, 0.0000, 0.0000)  6 C 2.53
C (0.3872, 0.3872, 0.3872)  3 Er 2.46, 3 Pa 2.53
C (0.6128, 0.6128, 0.6128)  3 Er 2.46, 3 Pa 2.53

Results
The calculation puts the volume at 100 Å³/cell. The formation energy is -0.37 eV per atom. The calculation puts the density of states at the Fermi level at 4.160 states/eV/f.u. As for the crystal system: trigonal. Its space group is No. 166. The total moment comes out at 0.00 μB/cell.


No. 6
The following is a PBE calculation of SrSbCl2 after structural relaxation, from Alexandria via LeMat-Bulk.

Lattice parameters (Å, degrees): 6.0821 6.0821 6.0821 145.43 116.32 74.53
With the nearest neighbours (Å) after each atom.
Fractional positions:
Sr (0.0000, 0.0000, 0.0000)  4 Cl 2.93
Sb (0.5000, 0.5000, 0.0000)  4 Cl 3.12
Cl (0.2378, 0.7378, 0.5000)  2 Sr 2.93, 2 Sb 3.12
Cl (0.7622, 0.2622, 0.5000)  2 Sr 2.93, 2 Sb 3.12

Results
The calculation puts the relative energy among the computed polymorphs at 0.168 eV per atom. The calculation puts the volume at 112 Å³/cell. As for the uncorrected formation energy: -1.164 eV per atom. The calculation puts the density of states at the Fermi level at 2.035 states/eV/f.u. As for the crystal system: orthorhombic. Its space group is No. 71. The total moment comes out at 0.00 μB/cell.


No. 7
The following is a PBE calculation of Sm7Ho16Tm6 after structural relaxation, from Alexandria via LeMat-Bulk.

Lattice parameters (Å, degrees): 11.1264 11.1264 11.1264 60.00 60.00 60.00
With the nearest neighbours (Å) after each atom.
Fractional positions:
Sm (0.0000, 0.0000, 0.0000)  8 Ho 3.51
Sm (0.0000, 0.0000, 0.5000)  8 Ho 3.25-3.37
Sm (0.0000, 0.5000, 0.0000)  8 Ho 3.25-3.37
Sm (0.0000, 0.5000, 0.5000)  8 Ho 3.25-3.37
Sm (0.5000, 0.0000, 0.0000)  8 Ho 3.25-3.37
Sm (0.5000, 0.0000, 0.5000)  8 Ho 3.25-3.37
Sm (0.5000, 0.5000, 0.0000)  8 Ho 3.25-3.37
Ho (0.0566, 0.6478, 0.6478)  3 Sm 3.25, 3 Ho 3.54, 3 Tm 3.62
Ho (0.1288, 0.1288, 0.1288)  4 Sm 3.37-3.51, 3 Tm 3.50, 3 Ho 3.54
Ho (0.1288, 0.1288, 0.6135)  4 Sm 3.37-3.51, 3 Tm 3.50, 3 Ho 3.54
Ho (0.1288, 0.6135, 0.1288)  4 Sm 3.37-3.51, 3 Tm 3.50, 3 Ho 3.54
Ho (0.3522, 0.3522, 0.3522)  3 Sm 3.25, 3 Ho 3.54, 3 Tm 3.62
Ho (0.3522, 0.3522, 0.9434)  3 Sm 3.25, 3 Ho 3.54, 3 Tm 3.62
Ho (0.3522, 0.9434, 0.3522)  3 Sm 3.25, 3 Ho 3.54, 3 Tm 3.62
Ho (0.3865, 0.8712, 0.8712)  4 Sm 3.37-3.51, 3 Tm 3.50, 3 Ho 3.54
Ho (0.6135, 0.1288, 0.1288)  4 Sm 3.37-3.51, 3 Tm 3.50, 3 Ho 3.54
Ho (0.6478, 0.0566, 0.6478)  3 Sm 3.25, 3 Ho 3.54, 3 Tm 3.62
Ho (0.6478, 0.6478, 0.0566)  3 Sm 3.25, 3 Ho 3.54, 3 Tm 3.62
Ho (0.6478, 0.6478, 0.6478)  3 Sm 3.25, 3 Ho 3.54, 3 Tm 3.62
Ho (0.8712, 0.3865, 0.8712)  4 Sm 3.37-3.51, 3 Tm 3.50, 3 Ho 3.54
Ho (0.8712, 0.8712, 0.3865)  4 Sm 3.37-3.51, 3 Tm 3.50, 3 Ho 3.54
Ho (0.8712, 0.8712, 0.8712)  4 Sm 3.37-3.51, 3 Tm 3.50, 3 Ho 3.54
Ho (0.9434, 0.3522, 0.3522)  3 Sm 3.25, 3 Ho 3.54, 3 Tm 3.62
Tm (0.2565, 0.2565, 0.7435)  8 Ho 3.50-3.62
Tm (0.2565, 0.7435, 0.2565)  8 Ho 3.50-3.62
Tm (0.2565, 0.7435, 0.7435)  8 Ho 3.50-3.62
Tm (0.7435, 0.2565, 0.2565)  8 Ho 3.50-3.62
Tm (0.7435, 0.2565, 0.7435)  8 Ho 3.50-3.62
Tm (0.7435, 0.7435, 0.2565)  8 Ho 3.50-3.62

Results
The calculation puts the volume at 974 Å³/cell. The formation energy is 0.27 eV per atom. The calculation puts the density of states at the Fermi level at 57.349 states/eV/f.u. As for the crystal system: cubic. Its space group is No. 225. The total moment comes out at 0.00 μB/cell.


No. 8
The following is a PBE calculation of Ge3BiH after structural relaxation, from Alexandria via LeMat-Bulk.

Lattice parameters (Å, degrees): 4.5587 4.5587 4.5587 90.00 90.00 90.00
With the nearest neighbours (Å) after each atom.
Fractional positions:
Ge (0.0000, 0.0000, 0.5000)  2 H 2.28
Ge (0.0000, 0.5000, 0.0000)  2 H 2.28
Ge (0.5000, 0.0000, 0.0000)  2 H 2.28
Bi (0.5000, 0.5000, 0.5000)  12 Ge 3.22
H (0.0000, 0.0000, 0.0000)  6 Ge 2.28

Results
The calculation puts the relative energy among the computed polymorphs at 0.000 eV per atom. The calculation puts the volume at 95 Å³/cell. The calculation puts the density of states at the Fermi level at 3.091 states/eV/f.u. As for the crystal system: cubic. Its space group is No. 221. The total moment comes out at 0.00 μB/cell.


No. 9
The following is a PBE calculation of Ca3Pm4Sn4 after structural relaxation, from Alexandria via LeMat-Bulk.

Lattice parameters (Å, degrees): 10.8750 10.8750 10.8750 160.70 125.94 57.94
With the nearest neighbours (Å) after each atom.
Fractional positions:
Ca (0.0000, 0.0000, 0.0000)  4 Sn 3.25
Ca (0.4100, 0.9100, 0.5000)  6 Sn 3.20-3.36, 1 Ca 3.43
Ca (0.5900, 0.0900, 0.5000)  6 Sn 3.20-3.36, 1 Ca 3.43
Pm (0.0189, 0.3339, 0.6850)  4 Sn 3.27-3.33, 3 Pm 3.65-3.66
Pm (0.3511, 0.6661, 0.6850)  4 Sn 3.27-3.33, 3 Pm 3.65-3.66
Pm (0.6489, 0.3339, 0.3150)  4 Sn 3.27-3.33, 3 Pm 3.65-3.66
Pm (0.9811, 0.6661, 0.3150)  4 Sn 3.27-3.33, 3 Pm 3.65-3.66
Sn (0.2719, 0.2719, 0.0000)  2 Ca 3.20, 6 Pm 3.27-3.33
Sn (0.2724, 0.5000, 0.7724)  6 Ca 3.25-3.36, 2 Pm 3.28
Sn (0.7276, 0.5000, 0.2276)  6 Ca 3.25-3.36, 2 Pm 3.28
Sn (0.7281, 0.7281, 0.0000)  2 Ca 3.20, 6 Pm 3.27-3.33

Results
The calculation puts the volume at 343 Å³/cell. The formation energy is -0.52 eV per atom. The calculation puts the density of states at the Fermi level at 6.255 states/eV/f.u. As for the crystal system: orthorhombic. Its space group is No. 71. The total moment comes out at 0.00 μB/cell.


No. 10
The following is a PBE calculation of Ce6TcRu5 after structural relaxation, from Alexandria via LeMat-Bulk.

Lattice parameters (Å, degrees): 4.5307 7.0028 8.2574 90.00 105.16 90.00
With the nearest neighbours (Å) after each atom.
Fractional positions:
Ce (0.0000, 0.2485, 0.0000)  6 Ru 2.86-3.18, 2 Tc 2.87
Ce (0.0000, 0.7515, 0.0000)  6 Ru 2.86-3.18, 2 Tc 2.87
Ce (0.3241, 0.2518, 0.6676)  2 Ru 2.53-2.56
Ce (0.3241, 0.7482, 0.6676)  2 Ru 2.53-2.56
Ce (0.6759, 0.2518, 0.3324)  2 Ru 2.53-2.56
Ce (0.6759, 0.7482, 0.3324)  2 Ru 2.53-2.56
Tc (0.5000, 0.5000, 0.0000)  8 Ce 2.87-3.17, 2 Ru 3.15
Ru (0.0789, 0.5000, 0.3100)  2 Ce 2.56
Ru (0.2744, 0.0000, 0.3272)  2 Ce 2.53
Ru (0.5000, 0.0000, 0.0000)  8 Ce 2.86-3.18, 2 Ru 3.13
Ru (0.7256, 0.0000, 0.6728)  2 Ce 2.53
Ru (0.9211, 0.5000, 0.6900)  2 Ce 2.56

Results
The calculation puts the volume at 253 Å³/cell. The formation energy is -0.27 eV per atom. The calculation puts the density of states at the Fermi level at 11.534 states/eV/f.u. As for the crystal system: monoclinic. Its space group is No. 10. The total moment comes out at 0.00 μB/cell.


No. 11
The following is a PBE calculation of DyBeS2 after structural relaxation, from Alexandria via LeMat-Bulk.

Lattice parameters (Å, degrees): 7.2544 7.2544 7.2544 31.75 31.75 31.75
With the nearest neighbours (Å) after each atom.
Fractional positions:
Dy (0.0000, 0.0000, 0.0000)  6 S 2.76
Be (0.5000, 0.5000, 0.5000)  2 S 1.91
S (0.4075, 0.4075, 0.4075)  1 Be 1.91
S (0.5925, 0.5925, 0.5925)  1 Be 1.91

Results
The calculation puts the volume at 94 Å³/cell. As for the uncorrected formation energy: -1.096 eV per atom. The calculation puts the density of states at the Fermi level at 1.564 states/eV/f.u. As for the crystal system: trigonal. Its space group is No. 166. The total moment comes out at 0.00 μB/cell.


No. 12
The following is a PBE calculation of Rb3Ho2ErTe6 after structural relaxation, from Alexandria via LeMat-Bulk.

Lattice parameters (Å, degrees): 7.8037 7.8037 8.9386 98.37 98.37 120.00
With the nearest neighbours (Å) after each atom.
Fractional positions:
Rb (0.0000, 0.0000, 0.0000)  6 Te 3.66-3.67
Rb (0.3331, 0.6669, 0.0000)  6 Te 3.66-3.67
Rb (0.6669, 0.3331, 0.0000)  6 Te 3.66-3.67
Ho (0.1666, 0.8334, 0.5000)  6 Te 3.11
Ho (0.8334, 0.1666, 0.5000)  6 Te 3.11
Er (0.5000, 0.5000, 0.5000)  6 Te 3.10
Te (0.1015, 0.4339, 0.3018)  1 Er 3.10, 2 Ho 3.11
Te (0.2337, 0.2337, 0.6983)  1 Er 3.10, 2 Ho 3.11
Te (0.4339, 0.1015, 0.3018)  1 Er 3.10, 2 Ho 3.11
Te (0.5661, 0.8985, 0.6982)  1 Er 3.10, 2 Ho 3.11
Te (0.7663, 0.7663, 0.3017)  1 Er 3.10, 2 Ho 3.11
Te (0.8985, 0.5661, 0.6982)  1 Er 3.10, 2 Ho 3.11

Results
The calculation puts the volume at 451 Å³/cell. As for the uncorrected formation energy: -1.374 eV per atom. The calculation puts the density of states at the Fermi level at 0.000 states/eV/f.u. As for the crystal system: monoclinic. Its space group is No. 12. The total moment comes out at 0.00 μB/cell.


Question: Number 7 is which compound?
Answer: Sm7Ho16Tm6


What did the fifth record say?
The following is a PBE calculation of Er2PaC2 after structural relaxation, from Alexandria via LeMat-Bulk.

Lattice parameters (Å, degrees): 9.3052 9.3052 9.3052 22.14 22.14 22.14
With the nearest neighbours (Å) after each atom.
Fractional positions:
Er (0.2302, 0.2302, 0.2302)  3 C 2.46
Er (0.7698, 0.7698, 0.7698)  3 C 2.46
Pa (0.0000, 0.0000, 0.0000)  6 C 2.53
C (0.3872, 0.3872, 0.3872)  3 Er 2.46, 3 Pa 2.53
C (0.6128, 0.6128, 0.6128)  3 Er 2.46, 3 Pa 2.53

Results
The calculation puts the volume at 100 Å³/cell. The formation energy is -0.37 eV per atom. The calculation puts the density of states at the Fermi level at 4.160 states/eV/f.u. As for the crystal system: trigonal. Its space group is No. 166. The total moment comes out at 0.00 μB/cell.


Question: Number 6 is which compound?
Answer: SrSbCl2


Question: What is the formula in the ninth record?
Answer: Ca3Pm4Sn4